[1]
DFT (meta-GGA SCAN) results for VP2O7 at its PBEsol-relaxed geometry.

Lattice parameters (Å, degrees): 4.172 7.869 8.185 73.32 75.23 74.63
Element x y z (fractional)
O (0.491, 0.334, 0.191)
O (0.474, 0.222, 0.514)
O (0.422, 0.990, 0.832)
O (0.578, 0.010, 0.168)
P (0.674, 0.312, 0.348)
V (0.248, 0.250, 0.750)
O (0.509, 0.666, 0.809)
O (0.984, 0.834, 0.691)
P (0.334, 0.188, 0.152)
P (0.666, 0.812, 0.848)
V (0.752, 0.750, 0.250)
O (0.756, 0.490, 0.332)
O (0.789, 0.722, 0.014)
O (0.136, 0.750, 0.250)
O (0.526, 0.778, 0.486)
O (0.016, 0.166, 0.309)
O (0.211, 0.278, 0.986)
P (0.326, 0.688, 0.652)
O (0.244, 0.510, 0.668)
O (0.864, 0.250, 0.750)

Properties
- N(E_F): 0.00 states/eV per cell
- Uncorrected formation energy: -2471 meV per atom
- V: 243.54 Å³/cell
- M_tot: 2.00 Bohr magnetons per cell
- ρ: 3.07 g/cm3

=====

[2]
DFT (meta-GGA SCAN) results for CaInSi2 at its PBEsol-relaxed geometry.

Lattice parameters (Å, degrees): 3.165 3.165 8.326 90.00 90.00 90.00
Element x y z (fractional)
Si (0.000, 0.000, 0.256)
Si (0.000, 0.000, 0.744)
In (0.500, 0.500, 0.500)
Ca (0.500, 0.500, 0.000)

Properties
- N(E_F): 1.60 states/eV per cell
- Uncorrected formation energy: 284 meV per atom
- V: 83.42 Å³/cell
- M_tot: 0.00 Bohr magnetons per cell
- ρ: 4.20 g/cm3

=====

[3]
DFT (meta-GGA SCAN) results for SrCr2Ir at its PBEsol-relaxed geometry.

Lattice parameters (Å, degrees): 2.969 4.933 5.466 100.69 90.00 107.51
Element x y z (fractional)
Cr (0.282, 0.563, 0.384)
Ir (0.000, 0.000, 0.500)
Cr (0.718, 0.437, 0.616)
Sr (0.500, 0.000, 0.000)

Properties
- N(E_F): 3.08 states/eV per cell
- V: 74.90 Å³/cell
- M_tot: 0.00 Bohr magnetons per cell
- Formation energy: 0.405 eV/atom
- ρ: 8.51 g/cm3

=====

[4]
DFT (meta-GGA SCAN) results for Y3ReSi at its PBEsol-relaxed geometry.

Lattice parameters (Å, degrees): 5.220 5.220 5.220 90.00 90.00 90.00
Element x y z (fractional)
Y (0.000, 0.000, 0.500)
Si (0.500, 0.500, 0.500)
Y (0.500, 0.000, 0.000)
Re (0.000, 0.000, 0.000)
Y (0.000, 0.500, 0.000)

Properties
- N(E_F): 2.48 states/eV per cell
- Uncorrected formation energy: 344 meV per atom
- V: 142.23 Å³/cell
- M_tot: 0.00 Bohr magnetons per cell
- ρ: 5.62 g/cm3

=====

[5]
DFT (meta-GGA SCAN) results for CaZr4Si at its PBEsol-relaxed geometry.

Lattice parameters (Å, degrees): 5.751 5.751 5.751 60.00 60.00 60.00
Element x y z (fractional)
Zr (0.377, 0.377, 0.377)
Zr (0.377, 0.869, 0.377)
Ca (0.750, 0.750, 0.750)
Zr (0.377, 0.377, 0.869)
Zr (0.869, 0.377, 0.377)
Si (0.000, 0.000, 0.000)

Properties
- N(E_F): 7.99 states/eV per cell
- Uncorrected formation energy: 500 meV per atom
- V: 134.47 Å³/cell
- M_tot: 0.00 Bohr magnetons per cell
- ρ: 5.35 g/cm3

=====

[6]
DFT (meta-GGA SCAN) results for Ba2Ag at its PBEsol-relaxed geometry.

Lattice parameters (Å, degrees): 4.012 4.012 15.683 97.35 97.35 90.00
Element x y z (fractional)
Ba (0.562, 0.562, 0.125)
Ba (0.438, 0.438, 0.875)
Ag (0.250, 0.750, 0.500)
Ba (0.812, 0.312, 0.625)
Ag (0.000, 0.000, 0.000)
Ba (0.688, 0.188, 0.375)

Properties
- N(E_F): 4.44 states/eV per cell
- V: 248.25 Å³/cell
- M_tot: 0.07 Bohr magnetons per cell
- Formation energy: -0.146 eV/atom
- ρ: 5.12 g/cm3